Record 1
This record from Alexandria describes crystalline GaAuI2 at its relaxed geometry. The functional is PBE.

Summary:
E_form (uncorrected)	-84	meV per atom
E above lowest polymorph	0.000	eV per atom
crystal system	tetragonal
total magnetization	0.00	μB per cell

Cell lengths 8.2848, 8.2848, 8.2848 Å; angles 128.73, 128.73, 75.45 degrees
Closest atoms and distances in Å follow each position.
Fractional positions:
Ga 0.0000 0.0000 0.0000  4 I 3.23
Ga 0.7500 0.2500 0.5000  4 I 3.23
Au 0.2500 0.7500 0.5000  4 I 2.83
Au 0.5000 0.5000 0.0000  4 I 2.83
I 0.1726 0.6250 0.0476  2 Au 2.83
I 0.3750 0.4226 0.5476  2 Au 2.83
I 0.5774 0.1250 0.9524  2 Au 2.83
I 0.8750 0.8274 0.4524  2 Au 2.83

Record 2
This record from Alexandria describes crystalline ZrCrCd at its relaxed geometry. The functional is PBE.

Summary:
formation enthalpy at 0 K	0.6709	eV per atom
E above lowest polymorph	0.483	eV per atom
crystal system	cubic
total magnetization	4.34	μB per cell

Cell lengths 4.5745, 4.5745, 4.5745 Å; angles 60.00, 60.00, 60.00 degrees
Closest atoms and distances in Å follow each position.
Fractional positions:
Zr 0.0000 0.0000 0.0000  4 Cr 2.80
Cr 0.2500 0.2500 0.2500  4 Zr 2.80, 4 Cd 2.80
Cd 0.5000 0.5000 0.5000  4 Cr 2.80